# 1
The following is a DFT calculation (PBE-GGA) of an optimized crystal structure of Tm6TlGa2.

Computed properties:
magnetic moment	0.000	μB/atom
energy relative to the elements	-0.40	eV per atom
D(E_F)	11.36	states/eV/cell

Structure (extended XYZ):
```
18
Lattice="-4.760 4.765 5.226 4.760 -4.765 5.226 4.760 4.765 -5.226" Properties=species:S:1:pos:R:3 pbc="T T T"
Tm 4.760 -2.835 3.355
Tm 2.825 0.000 2.529
Tm 6.695 0.000 2.529
Tm 3.009 2.645 0.000
Tm 6.511 2.645 0.000
Tm 0.000 1.931 1.871
Tm 4.760 2.835 3.355
Tm -1.751 2.121 5.226
Tm 1.751 2.121 5.226
Tm -1.935 4.765 2.697
Tm 1.935 4.765 2.697
Tm 0.000 7.600 1.871
Tl 4.760 0.000 0.000
Tl 0.000 4.765 0.000
Ga 1.406 0.000 0.000
Ga 8.114 0.000 0.000
Ga 0.000 0.000 3.958
Ga 0.000 0.000 6.493
```

=====

# 2
The following is a DFT calculation (PBE-GGA) of an optimized crystal structure of ScPaPb2S6.

Computed properties:
formation energy (no corrections)	-1.214	eV/atom
magnetic moment	0.000	μB/atom

Structure (extended XYZ):
```
10
Lattice="3.545 2.047 5.977 -3.545 2.047 5.977 0.000 -4.094 5.977" Properties=species:S:1:pos:R:3 pbc="T T T"
Sc 0.000 0.000 0.000
Pa 0.000 0.000 8.944
Pb 0.000 0.000 5.201
Pb 0.000 0.000 14.201
S -0.670 -2.002 7.327
S -2.173 -0.493 10.351
S -1.399 1.581 7.327
S 1.513 -1.635 10.351
S 2.068 0.421 7.327
S 0.659 2.128 10.351
```

=====

# 3
The following is a DFT calculation (PBE-GGA) of an optimized crystal structure of Hf2AlNi.

Computed properties:
magnetic moment	0.000	μB/atom
energy relative to the elements	0.25	eV per atom
D(E_F)	4.17	states/eV/cell

Structure (extended XYZ):
```
4
Lattice="1.475 0.852 9.928 -1.475 0.852 9.928 0.000 -1.703 9.928" Properties=species:S:1:pos:R:3 pbc="T T T"
Hf 0.000 0.000 2.474
Hf 0.000 0.000 27.309
Al 0.000 0.000 14.891
Ni 0.000 0.000 0.000
```

=====

# 4
The following is a DFT calculation (PBE-GGA) of an optimized crystal structure of Mg3VPt.

Computed properties:
ΔE to the lowest computed polymorph	0	meV/atom
magnetic moment	0.829	μB/atom
energy relative to the elements	0.25	eV per atom
D(E_F)	5.61	states/eV/cell

Structure (extended XYZ):
```
5
Lattice="4.953 0.000 0.000 0.000 4.953 0.000 0.000 0.000 4.953" Properties=species:S:1:pos:R:3 pbc="T T T"
Mg 0.000 0.000 2.477
Mg 0.000 2.477 0.000
Mg 2.477 0.000 0.000
V 2.477 2.477 2.477
Pt 0.000 0.000 0.000
```

=====

# 5
The following is a DFT calculation (PBE-GGA) of an optimized crystal structure of RbAlI2Cl.

Computed properties:
formation energy (no corrections)	-1.005	eV/atom
magnetic moment	0.000	μB/atom
D(E_F)	1.62	states/eV/cell

Structure (extended XYZ):
```
5
Lattice="5.898 0.000 0.000 0.000 5.898 0.000 0.000 0.000 5.068" Properties=species:S:1:pos:R:3 pbc="T T T"
Rb 0.000 0.000 0.000
Al 2.949 2.949 2.534
I 0.000 2.949 2.534
I 2.949 0.000 2.534
Cl 2.949 2.949 0.000
```

=====

# 6
The following is a DFT calculation (PBE-GGA) of an optimized crystal structure of Tb2PrSm2Y2.

Computed properties:
magnetic moment	0.000	μB/atom
energy relative to the elements	0.02	eV per atom
D(E_F)	9.53	states/eV/cell

Structure (extended XYZ):
```
7
Lattice="5.687 -2.551 0.000 5.687 2.551 0.000 -1.122 0.000 7.992" Properties=species:S:1:pos:R:3 pbc="T T T"
Tb 1.139 0.000 3.439
Tb 9.112 0.000 4.553
Pr 0.000 0.000 0.000
Sm 4.545 0.000 2.298
Sm 5.706 0.000 5.694
Y 2.295 0.000 6.833
Y 7.957 0.000 1.159
```

=====

# 7
The following is a DFT calculation (PBE-GGA) of an optimized crystal structure of Li2SiGe2.

Computed properties:
formation energy (no corrections)	-0.013	eV/atom
magnetic moment	0.000	μB/atom
D(E_F)	2.06	states/eV/cell

Structure (extended XYZ):
```
10
Lattice="7.426 0.000 0.000 0.000 7.426 0.000 0.000 0.000 2.887" Properties=species:S:1:pos:R:3 pbc="T T T"
Li 1.299 2.414 0.000
Li 2.414 6.128 0.000
Li 5.012 1.299 0.000
Li 6.128 5.012 0.000
Si 0.000 0.000 1.443
Si 3.713 3.713 1.443
Ge 0.939 4.652 1.443
Ge 2.774 0.939 1.443
Ge 4.652 6.487 1.443
Ge 6.487 2.774 1.443
```

=====

# 8
The following is a DFT calculation (PBE-GGA) of an optimized crystal structure of CeUTc.

Computed properties:
ΔE to the lowest computed polymorph	91	meV/atom
magnetic moment	0.000	μB/atom
energy relative to the elements	0.02	eV per atom
D(E_F)	5.56	states/eV/cell

Structure (extended XYZ):
```
3
Lattice="4.835 0.000 0.000 -2.417 4.187 0.000 0.000 0.000 2.809" Properties=species:S:1:pos:R:3 pbc="T T T"
Ce 0.000 0.000 0.000
U 2.417 1.396 0.037
Tc 0.000 2.791 1.048
```